Material: Co3S3Br
Method: DFT, PBE-GGA
State: optimized geometry

Lattice parameters (Å, degrees): 4.478 8.276 8.276 120.00 90.00 90.00
Sites, in units of the cell vectors:
1 Co 0.750 0.159 0.318
2 Co 0.750 0.159 0.841
3 Co 0.750 0.682 0.841
4 Co 0.250 0.841 0.682
5 Co 0.250 0.841 0.159
6 Co 0.250 0.318 0.159
7 S 0.750 0.860 0.140
8 S 0.750 0.280 0.140
9 S 0.750 0.860 0.720
10 S 0.250 0.140 0.860
11 S 0.250 0.720 0.860
12 S 0.250 0.140 0.280
13 Br 0.750 0.333 0.667
14 Br 0.250 0.667 0.333

Output
Raw formation energy = -1.14 eV/f.u.
Space-group type = No. 194

Material: TaTl2Cd
Method: DFT, PBE-GGA
State: optimized geometry

Lattice parameters (Å, degrees): 5.095 5.095 5.095 60.00 60.00 60.00
Site moments in Bohr magnetons follow the coordinates.
Sites, in units of the cell vectors:
1 Tl 0.250 0.250 0.250  0.01
2 Tl 0.750 0.750 0.750  0.01
3 Cd 0.000 0.000 0.000  -0.01
4 Ta 0.500 0.500 0.500  1.29

Output
ΔE to the lowest computed polymorph = 0.427 eV/atom
E_form = 0.82 eV/atom
Space-group type = No. 225

Material: Be5PtRh4
Method: DFT, PBE-GGA
State: optimized geometry

Lattice parameters (Å, degrees): 2.798 2.798 13.974 90.00 90.00 90.00
Sites, in units of the cell vectors:
1 Be 0.500 0.500 0.108
2 Be 0.500 0.500 0.302
3 Be 0.500 0.500 0.500
4 Be 0.500 0.500 0.698
5 Be 0.500 0.500 0.892
6 Pt 0.000 0.000 0.000
7 Rh 0.000 0.000 0.202
8 Rh 0.000 0.000 0.400
9 Rh 0.000 0.000 0.600
10 Rh 0.000 0.000 0.798

Output
E_form = -0.67 eV/atom
Space-group type = No. 123

Material: KNaP2Cl
Method: DFT, PBE-GGA
State: optimized geometry

Lattice parameters (Å, degrees): 5.154 5.154 5.657 90.00 90.00 90.00
Site moments in Bohr magnetons follow the coordinates.
Sites, in units of the cell vectors:
1 P 0.000 0.500 0.000  0.48
2 P 0.500 0.000 0.000  0.48
3 K 0.500 0.500 0.500  0.01
4 Na 0.000 0.000 0.000  0.01
5 Cl 0.000 0.000 0.500  0.14

Output
ΔE to the lowest computed polymorph = 0.000 eV/atom
Raw formation energy = 1.33 eV/f.u.
Space-group type = No. 123

Material: NaCaSn
Method: DFT, PBE-GGA
State: optimized geometry

Lattice parameters (Å, degrees): 4.961 4.961 8.008 90.00 90.00 90.00
Sites, in units of the cell vectors:
1 Ca 0.000 0.500 0.730
2 Ca 0.500 0.000 0.270
3 Sn 0.500 0.500 0.000
4 Sn 0.000 0.000 0.000
5 Na 0.500 0.000 0.734
6 Na 0.000 0.500 0.266

Output
E_form = -0.20 eV/atom
Space-group type = No. 129

Material: Pr3Nd2YS6
Method: DFT, PBE-GGA
State: optimized geometry

Lattice parameters (Å, degrees): 7.037 7.037 7.044 99.57 99.57 120.14
Sites, in units of the cell vectors:
1 Pr 0.170 0.830 0.500
2 Pr 0.830 0.170 0.500
3 Pr 0.500 0.500 0.500
4 Nd 0.333 0.667 0.000
5 Nd 0.667 0.333 0.000
6 Y 0.000 0.000 0.000
7 S 0.920 0.595 0.759
8 S 0.757 0.757 0.244
9 S 0.080 0.405 0.241
10 S 0.595 0.920 0.759
11 S 0.243 0.243 0.756
12 S 0.405 0.080 0.241

Output
Raw formation energy = -24.26 eV/f.u.
Space-group type = No. 12